1.
The following is a DFT calculation (GGA-PBE) of a relaxed structure of AlCu3Sb.

POSCAR file:
```
AlCu3Sb
1.0
-3.0726 0.1788 -3.7602
-3.7166 -0.9161 2.9933
-0.5987 4.7688 0.7160
Al Cu Sb
1 3 1
direct
0.5000 0.5000 0.5000
0.0000 0.5000 0.0000
0.5000 0.0000 0.0000
0.0000 0.0000 0.5000
0.0000 0.0000 0.0000
```

The density is 4.91 g cm⁻³. The calculation puts the uncorrected formation energy at 0.71 eV per atom. Its spin magnetization is 0.00 μB per atom. The value obtained for the density of states at the Fermi level is 0.581 states/eV/atom.



2.
The following is a DFT calculation (GGA-PBE) of a relaxed structure of KDyWN3.

POSCAR file:
```
KDyWN3
1.0
-3.3105 2.0381 -0.3840
-1.5814 -5.5600 3.9945
2.6804 5.3309 5.1854
N K W Dy
6 2 2 2
direct
0.8641 0.7281 0.2197
0.5128 0.0257 0.3440
0.4872 0.9743 0.6560
0.1612 0.3224 0.3627
0.8388 0.6776 0.6373
0.1359 0.2719 0.7803
0.3522 0.7043 0.9317
0.6478 0.2957 0.0683
0.9920 0.9839 0.6757
0.0080 0.0161 0.3243
0.3373 0.6746 0.4119
0.6627 0.3254 0.5881
```

The density is 7.03 g cm⁻³. The calculation puts the uncorrected formation energy at -0.63 eV per atom. Its spin magnetization is 0.00 μB per atom. The value obtained for the density of states at the Fermi level is 0.013 states/eV/atom.



3.
The following is a DFT calculation (GGA-PBE) of a relaxed structure of La2InSi3Pd4.

POSCAR file:
```
La2InSi3Pd4
1.0
-2.6366 -3.1035 1.5036
-0.1098 -1.8162 -3.9413
8.2712 -5.8356 2.4588
Si Pd La In
3 4 2 1
direct
0.0000 0.5000 0.1197
0.0000 0.0000 0.5000
0.5000 0.0000 0.8803
0.5000 0.5000 0.0000
0.0000 0.5000 0.3522
0.5000 0.0000 0.6478
0.0000 0.0000 0.0000
0.5000 0.0000 0.2426
0.0000 0.5000 0.7574
0.5000 0.5000 0.5000
```

The density is 7.63 g cm⁻³. The calculation puts the uncorrected formation energy at -0.84 eV per atom. Its spin magnetization is 0.00 μB per atom. The value obtained for the density of states at the Fermi level is 0.418 states/eV/atom.



4.
The following is a DFT calculation (GGA-PBE) of a relaxed structure of Zr2GaHg.

POSCAR file:
```
Zr2GaHg
1.0
4.1746 0.0000 0.0000
0.0000 4.4155 0.0000
0.0000 0.0000 4.4155
Zr Ga Hg
2 1 1
direct
0.0000 0.5000 0.0000
0.0000 0.0000 0.5000
0.5000 0.0000 0.0000
0.5000 0.5000 0.5000
```

The density is 9.24 g cm⁻³. Its spin magnetization is 0.00 μB per atom. As for the formation energy: -1.3 eV/f.u. The value obtained for the density of states at the Fermi level is 0.859 states/eV/atom.



5.
The following is a DFT calculation (GGA-PBE) of a relaxed structure of YInRu2Au.

POSCAR file:
```
YInRu2Au
1.0
4.9166 0.0000 0.0000
0.0000 5.3372 0.0000
0.0000 0.0000 4.9166
Ru Au Y In
2 1 1 1
direct
0.5000 0.0000 0.0000
0.0000 0.0000 0.5000
0.0000 0.5000 0.0000
0.0000 0.0000 0.0000
0.5000 0.5000 0.5000
```

The density is 7.76 g cm⁻³. Its spin magnetization is 0.41 μB per atom. As for the formation energy: 6.7 eV/f.u. The value obtained for the density of states at the Fermi level is 1.400 states/eV/atom.



6.
The following is a DFT calculation (GGA-PBE) of a relaxed structure of RbAg3Hg.

POSCAR file:
```
RbAg3Hg
1.0
6.3855 0.0000 0.0000
0.0000 6.3855 0.0000
0.0000 0.0000 6.3855
Rb Ag Hg
1 3 1
direct
0.0000 0.0000 0.0000
0.5000 0.0000 0.0000
0.0000 0.0000 0.5000
0.0000 0.5000 0.0000
0.5000 0.5000 0.5000
```

The density is 3.89 g cm⁻³. Its spin magnetization is 0.00 μB per atom. As for the formation energy: 5.3 eV/f.u. The value obtained for the density of states at the Fermi level is 1.820 states/eV/atom.



7.
The following is a DFT calculation (GGA-PBE) of a relaxed structure of AcPrC.

POSCAR file:
```
AcPrC
1.0
-1.0538 -3.5621 -0.8618
3.1277 1.4993 -1.5847
3.8109 -2.3982 5.2529
Ac Pr C
1 1 1
direct
0.6667 0.3333 0.2188
0.3333 0.6667 0.7931
0.0000 0.0000 0.9882
```

The density is 7.24 g cm⁻³. Its spin magnetization is 0.00 μB per atom. As for the formation energy: 0.0 eV/f.u. The value obtained for the density of states at the Fermi level is 0.652 states/eV/atom.



8.
The following is a DFT calculation (GGA-PBE) of a relaxed structure of Tm5Tl2Rh.

POSCAR file:
```
Tm5Tl2Rh
1.0
-3.4823 1.3949 2.8651
2.6784 -4.1548 5.2781
6.9033 9.3353 3.8455
Tl Tm Rh
4 10 2
direct
0.5000 0.9105 0.6645
0.5000 0.4105 0.8355
0.5000 0.0895 0.3355
0.5000 0.5895 0.1645
0.0000 0.6323 0.7089
0.0000 0.3677 0.2911
0.0000 0.8677 0.2089
0.5000 0.6786 0.4202
0.5000 0.8214 0.9202
0.0000 0.5000 0.0000
0.5000 0.1786 0.0798
0.0000 0.0000 0.5000
0.5000 0.3214 0.5798
0.0000 0.1323 0.7911
0.0000 0.0000 0.0000
0.0000 0.5000 0.5000
```

The density is 10.79 g cm⁻³. Its spin magnetization is 0.00 μB per atom. As for the formation energy: -3.6 eV/f.u. The value obtained for the density of states at the Fermi level is 0.772 states/eV/atom.



9.
The following is a DFT calculation (GGA-PBE) of a relaxed structure of TaSiSb2Te.

POSCAR file:
```
TaSiSb2Te
1.0
-2.1574 -4.1996 -1.8681
1.0230 -2.4506 4.3277
-4.5039 1.4699 1.8970
Ta Si Sb Te
1 1 2 1
direct
0.5000 0.5000 0.5000
0.0000 0.0000 0.0000
0.5000 0.0000 0.0000
0.0000 0.5000 0.0000
0.0000 0.0000 0.5000
```

The density is 7.32 g cm⁻³. The calculation puts the uncorrected formation energy at 1.15 eV per atom. Its spin magnetization is 0.33 μB per atom. The value obtained for the density of states at the Fermi level is 1.149 states/eV/atom.



10.
The following is a DFT calculation (GGA-PBE) of a relaxed structure of RbMgAgTe2.

POSCAR file:
```
RbMgAgTe2
1.0
6.8638 0.0000 0.0000
0.0000 6.7164 0.0000
0.0000 -3.3582 7.7456
Ag Te Mg Rb
2 4 2 2
direct
0.0000 0.5000 0.0000
0.0000 0.0000 0.0000
0.7120 0.8852 0.7703
0.2880 0.1148 0.2297
0.7120 0.6148 0.2297
0.2880 0.3852 0.7703
0.5000 0.2500 0.0000
0.5000 0.7500 0.0000
0.2344 0.7500 0.5000
0.7656 0.2500 0.5000
```

The density is 4.40 g cm⁻³. The calculation puts the uncorrected formation energy at -0.73 eV per atom. Its spin magnetization is 0.00 μB per atom. The value obtained for the density of states at the Fermi level is 0.000 states/eV/atom.



11.
The following is a DFT calculation (GGA-PBE) of a relaxed structure of Cs2TaZnI6.

POSCAR file:
```
Cs2TaZnI6
1.0
-8.6126 -0.3862 -1.3134
1.1370 -6.6781 -5.4920
-4.2771 -7.4887 1.2967
I Zn Cs Ta
6 1 2 1
direct
0.2286 0.2286 0.5427
0.2286 0.2286 0.0000
0.2286 0.7714 0.0000
0.7714 0.2286 0.0000
0.7714 0.7714 0.0000
0.7714 0.7714 0.4573
0.5000 0.5000 0.0000
0.7500 0.2500 0.5000
0.2500 0.7500 0.5000
0.0000 0.0000 0.0000
```

The density is 4.51 g cm⁻³. The calculation puts the uncorrected formation energy at -0.71 eV per atom. Its spin magnetization is 0.10 μB per atom. The value obtained for the density of states at the Fermi level is 1.321 states/eV/atom.



12.
The following is a DFT calculation (GGA-PBE) of a relaxed structure of Rb2Zn3Au2.

POSCAR file:
```
Rb2Zn3Au2
1.0
4.3346 0.0000 1.2181
1.7198 6.2900 2.2015
0.3145 0.0700 7.2024
Au Rb Zn
2 2 3
direct
0.8821 0.0320 0.2039
0.1179 0.9680 0.7961
0.8637 0.5089 0.7638
0.1363 0.4911 0.2362
0.3221 0.9395 0.4163
0.6779 0.0605 0.5837
0.5000 0.0000 0.0000
```

The density is 6.53 g cm⁻³. Its spin magnetization is 0.00 μB per atom. As for the formation energy: -1.4 eV/f.u. The value obtained for the density of states at the Fermi level is 0.380 states/eV/atom.



13.
The following is a DFT calculation (GGA-PBE) of a relaxed structure of Tb2Er3Ni2.

POSCAR file:
```
Tb2Er3Ni2
1.0
3.5795 0.0000 0.0000
-1.7897 6.0275 -0.4703
0.0000 -3.3758 8.2656
Tb Er Ni
2 3 2
direct
0.1660 0.3320 0.8101
0.8340 0.6680 0.1899
0.5000 0.0000 0.0000
0.3842 0.7683 0.5668
0.6158 0.2317 0.4332
0.8278 0.6555 0.7610
0.1722 0.3445 0.2390
```

The density is 9.01 g cm⁻³. Its spin magnetization is 0.00 μB per atom. As for the formation energy: -1.9 eV/f.u. The value obtained for the density of states at the Fermi level is 1.352 states/eV/atom.



14.
The following is a DFT calculation (GGA-PBE) of a relaxed structure of CaMg10Al3.

POSCAR file:
```
CaMg10Al3
1.0
8.6753 0.0000 5.0087
2.8918 8.1792 5.0087
0.0000 0.0000 10.0174
Al Mg Ca
6 20 2
direct
0.7355 0.7355 0.2645
0.2645 0.7355 0.2645
0.2645 0.2645 0.7355
0.7355 0.2645 0.2645
0.7355 0.2645 0.7355
0.2645 0.7355 0.7355
0.8405 0.3865 0.3865
0.0000 0.6543 0.0000
0.6543 0.0000 0.3457
0.3865 0.8405 0.3865
0.6135 0.6135 0.6135
0.6135 0.6135 0.1595
0.3457 0.0000 0.6543
0.0000 0.0000 0.3457
0.3865 0.3865 0.8405
0.1595 0.6135 0.6135
0.0000 0.3457 0.0000
0.6543 0.3457 0.0000
0.6135 0.1595 0.6135
0.3457 0.6543 0.0000
0.0000 0.6543 0.3457
0.3457 0.0000 0.0000
0.0000 0.0000 0.6543
0.3865 0.3865 0.3865
0.6543 0.0000 0.0000
0.0000 0.3457 0.6543
0.2500 0.2500 0.2500
0.7500 0.7500 0.7500
```

The density is 1.70 g cm⁻³. Its spin magnetization is 0.00 μB per atom. As for the formation energy: 1.3 eV/f.u. The value obtained for the density of states at the Fermi level is 0.397 states/eV/atom.



15.
The following is a DFT calculation (GGA-PBE) of a relaxed structure of Sr3NdEr3Te8.

POSCAR file:
```
Sr3NdEr3Te8
1.0
-4.8508 0.6008 -7.4102
-2.9142 -4.8640 6.8304
0.0115 9.1252 0.7323
Te Sr Er Nd
8 3 3 1
direct
0.7479 0.0173 0.2652
0.2522 0.5044 0.7350
0.2521 0.9827 0.7348
0.7478 0.4956 0.2650
0.7306 0.9827 0.7348
0.7428 0.4856 0.7281
0.2694 0.0173 0.2652
0.2572 0.5144 0.2719
0.5000 0.5000 0.0000
0.0000 0.0000 0.0000
0.0000 0.5000 0.0000
0.5000 0.0000 0.5000
0.5000 0.5000 0.5000
0.0000 0.5000 0.5000
0.0000 0.0000 0.5000
```

The density is 6.19 g cm⁻³. The calculation puts the uncorrected formation energy at -1.50 eV per atom. Its spin magnetization is 0.00 μB per atom. The value obtained for the density of states at the Fermi level is 0.352 states/eV/atom.



16.
The following is a DFT calculation (GGA-PBE) of a relaxed structure of La6YTe8.

POSCAR file:
```
La6YTe8
1.0
7.8978 0.0000 4.5598
2.6326 7.4461 4.5598
0.0000 0.0000 9.1196
Te La Y
8 6 1
direct
0.7500 0.7500 0.7500
0.7547 0.2453 0.7547
0.2453 0.7547 0.2453
0.2453 0.2453 0.7547
0.7547 0.2453 0.2453
0.7547 0.7547 0.2453
0.2500 0.2500 0.2500
0.2453 0.7547 0.7547
0.0000 0.5000 0.5000
0.0000 0.5000 0.0000
0.5000 0.5000 0.0000
0.0000 0.0000 0.5000
0.5000 0.0000 0.0000
0.5000 0.0000 0.5000
0.0000 0.0000 0.0000
```

The density is 6.02 g cm⁻³. The calculation puts the uncorrected formation energy at -1.58 eV per atom. Its spin magnetization is 0.00 μB per atom. The value obtained for the density of states at the Fermi level is 0.618 states/eV/atom.



17.
The following is a DFT calculation (GGA-PBE) of a relaxed structure of Cd4GePb.

POSCAR file:
```
Cd4GePb
1.0
5.9235 0.0000 0.0000
2.9617 5.1299 0.0000
2.9617 1.7100 4.8365
Cd Ge Pb
4 1 1
direct
0.1238 0.6254 0.6254
0.6254 0.6254 0.1238
0.6254 0.6254 0.6254
0.6254 0.1238 0.6254
0.0000 0.0000 0.0000
0.2500 0.2500 0.2500
```

The density is 8.24 g cm⁻³. Its spin magnetization is 0.00 μB per atom. As for the formation energy: 1.0 eV/f.u. The value obtained for the density of states at the Fermi level is 0.675 states/eV/atom.



18.
The following is a DFT calculation (GGA-PBE) of a relaxed structure of HfIrAuN2.

POSCAR file:
```
HfIrAuN2
1.0
3.8622 0.0000 0.0000
0.0000 5.3534 0.0000
0.0000 0.0000 3.8622
Ir Hf N Au
1 1 2 1
direct
0.0000 0.0000 0.0000
0.5000 0.5000 0.5000
0.0000 0.0000 0.5000
0.5000 0.0000 0.0000
0.0000 0.5000 0.0000
```

The density is 12.39 g cm⁻³. The calculation puts the uncorrected formation energy at 0.87 eV per atom. Its spin magnetization is 0.00 μB per atom. The value obtained for the density of states at the Fermi level is 0.827 states/eV/atom.



19.
The following is a DFT calculation (GGA-PBE) of a relaxed structure of KCaPCl2.

POSCAR file:
```
KCaPCl2
1.0
5.4718 0.0000 0.0000
0.0000 5.4718 0.0000
0.0000 0.0000 5.8191
Cl Ca P K
2 1 1 1
direct
0.5000 0.0000 0.0000
0.0000 0.5000 0.0000
0.5000 0.5000 0.5000
0.0000 0.0000 0.5000
0.0000 0.0000 0.0000
```

The density is 1.73 g cm⁻³. The calculation puts the uncorrected formation energy at -0.44 eV per atom. Its spin magnetization is 0.40 μB per atom. The value obtained for the density of states at the Fermi level is 0.658 states/eV/atom.



20.
The following is a DFT calculation (GGA-PBE) of a relaxed structure of TaSb2TeI.

POSCAR file:
```
TaSb2TeI
1.0
5.4972 0.0000 0.0000
0.0000 5.4972 0.0000
0.0000 0.0000 5.2524
Te I Sb Ta
1 1 2 1
direct
0.5000 0.5000 0.5000
0.0000 0.0000 0.5000
0.5000 0.0000 0.0000
0.0000 0.5000 0.0000
0.0000 0.0000 0.0000
```

The density is 7.10 g cm⁻³. The calculation puts the uncorrected formation energy at 0.45 eV per atom. Its spin magnetization is 0.00 μB per atom. The value obtained for the density of states at the Fermi level is 0.877 states/eV/atom.



21.
The following is a DFT calculation (GGA-PBE) of a relaxed structure of Co2SiNi8.

POSCAR file:
```
Co2SiNi8
1.0
-2.5776 2.5430 1.9890
-5.6388 0.9286 -2.4673
-4.8160 -3.8565 1.7032
Ni Si Co
8 1 2
direct
0.8629 0.1034 0.2231
0.1371 0.8966 0.7769
0.8629 0.3264 0.7769
0.5000 0.7961 0.4078
0.5000 0.2039 0.5922
0.6917 0.6069 0.0000
0.1371 0.6736 0.2231
0.3083 0.3931 0.0000
0.5000 0.0000 0.0000
0.0000 0.3031 0.3938
0.0000 0.6969 0.6062
```

The density is 8.03 g cm⁻³. The calculation puts the uncorrected formation energy at 0.11 eV per atom. Its spin magnetization is 0.66 μB per atom. The value obtained for the density of states at the Fermi level is 1.340 states/eV/atom.



22.
The following is a DFT calculation (GGA-PBE) of a relaxed structure of Nb2CF.

POSCAR file:
```
Nb2CF
1.0
0.0000 2.8635 2.8635
2.8635 0.0000 2.8635
2.8635 2.8635 0.0000
Nb C F
2 1 1
direct
0.2500 0.2500 0.2500
0.7500 0.7500 0.7500
0.0000 0.0000 0.0000
0.5000 0.5000 0.5000
```

The density is 7.67 g cm⁻³. The calculation puts the uncorrected formation energy at -0.32 eV per atom. Its spin magnetization is 0.00 μB per atom. The value obtained for the density of states at the Fermi level is 1.026 states/eV/atom.



23.
The following is a DFT calculation (GGA-PBE) of a relaxed structure of Ca2TcTe.

POSCAR file:
```
Ca2TcTe
1.0
9.2864 -0.0182 -0.0108
8.5752 3.5642 -0.0108
8.5752 1.7024 3.1314
Te Ca Tc
1 2 1
direct
0.7500 0.7500 0.7500
0.9965 0.9965 0.9965
0.5035 0.5035 0.5035
0.2500 0.2500 0.2500
```

The density is 4.86 g cm⁻³. The calculation puts the uncorrected formation energy at 0.13 eV per atom. Its spin magnetization is 0.22 μB per atom. The value obtained for the density of states at the Fermi level is 0.766 states/eV/atom.



24.
The following is a DFT calculation (GGA-PBE) of a relaxed structure of ThRh2Pb.

POSCAR file:
```
ThRh2Pb
1.0
-0.4245 -1.5421 -3.6428
3.1139 -0.1507 -2.4717
2.4816 -6.5851 0.3260
Rh Th Pb
2 1 1
direct
0.0852 0.0852 0.7444
0.2486 0.2486 0.2543
0.6688 0.6688 0.9937
0.4975 0.4975 0.5076
```

The density is 11.73 g cm⁻³. Its spin magnetization is 0.00 μB per atom. As for the formation energy: -1.7 eV/f.u. The value obtained for the density of states at the Fermi level is 0.700 states/eV/atom.